(1)
Crystalline Th6PIr2Se3 at its relaxed geometry, computed with PBE-GGA.

## Properties
Symmetry = C2/m, No. 12
Formation energy from raw total energies = -1.3825 eV/atom

Geometry as POSCAR:
```
Th6PIr2Se3
1.0
-2.747 2.992 -0.482
-5.288 -5.522 -4.147
-1.042 -2.271 9.203
Th P Ir Se
6 1 2 3
Cartesian
-6.387 -5.495 2.287
-5.164 -1.860 0.531
-2.691 0.694 2.288
-1.285 -1.324 -0.893
-7.792 -3.477 5.468
-3.913 -2.941 4.044
-1.374 1.496 -0.241
-6.536 -2.729 2.957
-2.541 -2.072 1.618
-4.018 -1.265 -2.314
-3.895 0.042 5.104
-5.182 -4.843 -0.529
```

(2)
Crystalline Th6P2IrSe3 at its relaxed geometry, computed with PBE-GGA.

## Properties
Symmetry = C2/m, No. 12
Formation energy from raw total energies = -1.4838 eV/atom

Geometry as POSCAR:
```
Th6P2IrSe3
1.0
4.114 0.000 0.000
0.000 8.556 0.244
-2.057 -2.529 8.882
Th P Ir Se
6 2 1 3
Cartesian
0.000 6.025 6.195
2.057 4.023 3.189
2.057 0.002 2.931
0.000 1.956 0.137
2.057 4.070 8.989
0.000 2.003 5.937
2.057 4.005 6.076
0.000 2.022 3.050
2.057 0.000 0.000
2.057 4.278 0.122
2.057 -0.255 5.961
0.000 6.282 3.165
```

(3)
Crystalline TlP2IrSe8 at its relaxed geometry, computed with PBE-GGA.

## Properties
Symmetry = R-3, No. 148
Formation energy from raw total energies = -0.0574 eV/atom

Geometry as POSCAR:
```
TlP2IrSe8
1.0
5.989 0.000 0.000
2.995 5.187 0.000
2.995 1.729 10.420
Tl P Ir Se
1 2 1 8
Cartesian
5.989 3.458 5.210
2.995 1.729 2.190
8.984 5.187 8.230
0.000 0.000 0.000
2.995 1.729 4.357
5.200 1.832 1.509
8.984 5.187 6.063
7.792 3.587 1.509
4.187 3.329 8.911
4.976 4.954 1.509
7.003 1.961 8.911
6.779 5.084 8.911
```